The following is a DFT calculation (PBE-GGA) of CeMnGa after structural relaxation.

* DOS(E_F): 14.1 states/eV/cell
* total energy: -0.229 hartree per atom
* energy relative to the elements: -0.192 eV/atom
* SG: P2_1/c (14)
* spin magnetization: 0.00 μB/f.u.

Cell: 6.2375 5.6429 6.8332 Å, 112.33 90.00 90.00°
Sites, in units of the cell vectors:
Mn (0.3164, 0.1408, 0.9877)
Mn (0.1836, 0.6408, 0.9877)
Mn (0.8164, 0.3592, 0.0123)
Mn (0.6836, 0.8592, 0.0123)
Ce (0.8985, 0.0119, 0.2739)
Ce (0.1015, 0.9881, 0.7261)
Ce (0.6015, 0.5119, 0.2739)
Ce (0.3985, 0.4881, 0.7261)
Ga (0.3829, 0.0041, 0.2954)
Ga (0.8829, 0.4959, 0.7046)
Ga (0.1171, 0.5041, 0.2954)
Ga (0.6171, 0.9959, 0.7046)



The following is a DFT calculation (PBE-GGA) of CaLa2Pm8 after structural relaxation.

* DOS(E_F): 19.2 states/eV/cell
* total energy: -0.161 hartree per atom
* energy relative to the elements: 0.152 eV/atom
* SG: Immm (71)
* spin magnetization: 0.00 μB/f.u.

Cell: 5.7268 8.5758 9.5776 Å, 116.60 107.40 90.00°
Sites, in units of the cell vectors:
Ca (0.5000, 0.0000, 0.0000)
Pm (0.6397, 0.4374, 0.2795)
Pm (0.3603, 0.1580, 0.7205)
Pm (0.6397, 0.8420, 0.2795)
Pm (0.8421, 0.8421, 0.6842)
Pm (0.1579, 0.1579, 0.3158)
Pm (0.0000, 0.6955, 0.0000)
Pm (0.3603, 0.5626, 0.7205)
Pm (0.0000, 0.3045, 0.0000)
La (0.2032, 0.7032, 0.4064)
La (0.7968, 0.2968, 0.5936)



The following is a DFT calculation (PBE-GGA) of Ta3Pb2O10 after structural relaxation.

* DOS(E_F): 3.2 states/eV/cell
* total energy: -0.309 hartree per atom
* uncorrected formation energy: -2242 meV/atom
* SG: C2/m (12)
* spin magnetization: 1.00 μB/f.u.

Cell: 6.1316 8.0324 9.8798 Å, 111.02 108.08 90.00°
Site moments in Bohr magnetons follow the coordinates.
Sites, in units of the cell vectors:
Ta (0.8215, 0.0042, 0.6430)  -0.06
Ta (0.1785, 0.9958, 0.3570)  -0.06
Ta (0.9199, 0.5352, 0.8397)  0.00
Ta (0.2563, 0.0000, 0.0000)  0.00
Ta (0.7437, 0.0000, 0.0000)  0.00
Ta (0.0801, 0.4648, 0.1603)  0.00
Pb (0.6921, 0.3128, 0.3841)  0.00
Pb (0.3079, 0.6872, 0.6159)  0.00
Pb (0.6115, 0.6613, 0.2229)  0.01
Pb (0.3885, 0.3387, 0.7771)  0.01
O (0.2060, 0.5000, 0.0000)  0.03
O (0.2493, 0.2496, 0.4985)  0.47
O (0.9774, 0.8160, 0.9549)  0.00
O (0.6106, 0.5439, 0.7192)  0.02
O (0.8914, 0.4561, 0.2808)  0.02
O (0.3894, 0.4561, 0.2808)  0.02
O (0.5000, 0.0000, 0.5000)  0.32
O (0.0000, 0.0000, 0.5000)  0.32
O (0.3348, 0.0293, 0.2169)  0.01
O (0.4781, 0.8287, 0.9563)  0.00
O (0.0226, 0.1840, 0.0451)  0.00
O (0.1179, 0.9707, 0.7831)  0.01
O (0.6652, 0.9707, 0.7831)  0.01
O (0.8821, 0.0293, 0.2169)  0.01
O (0.1086, 0.5439, 0.7192)  0.02
O (0.5219, 0.1713, 0.0437)  0.00
O (0.1364, 0.7349, 0.2729)  0.02
O (0.7507, 0.7504, 0.5015)  0.47
O (0.7940, 0.5000, 0.0000)  0.03
O (0.8636, 0.2651, 0.7271)  0.02



The following is a DFT calculation (PBE-GGA) of Sc2PbBr after structural relaxation.

* DOS(E_F): 6.6 states/eV/cell
* total energy: -0.162 hartree per atom
* uncorrected formation energy: 111 meV/atom
* SG: F-43m (216)
* spin magnetization: 1.37 μB/f.u.
* energy above the most stable polymorph in this dataset: 2.87 eV per formula unit

Cell: 5.2624 5.2624 5.2624 Å, 60.00 60.00 60.00°
Site moments in Bohr magnetons follow the coordinates.
Sites, in units of the cell vectors:
Pb (0.7500, 0.7500, 0.7500)  -0.06
Sc (0.2500, 0.2500, 0.2500)  0.50
Sc (0.0000, 0.0000, 0.0000)  0.49
Br (0.5000, 0.5000, 0.5000)  -0.01